Crystalline PmVCdO5 at its relaxed geometry, computed with PBE+U.

Geometry as POSCAR:
```
PmVCdO5
1.0
-5.0215 -3.4743 1.3825
3.2703 -4.8600 -2.2099
3.5251 2.6358 7.1200
O Pm Cd V
10 2 2 2
Direct
0.7653 0.2674 0.0894
0.0981 0.9019 0.2500
0.9019 0.0981 0.7500
0.2978 0.3361 0.6477
0.2347 0.7326 0.9106
0.6639 0.7022 0.8523
0.7326 0.2347 0.4106
0.7022 0.6639 0.3523
0.3361 0.2978 0.1477
0.2674 0.7653 0.5894
0.0000 0.0000 0.0000
0.0000 0.0000 0.5000
0.6782 0.3218 0.7500
0.3218 0.6782 0.2500
0.6408 0.3592 0.2500
0.3592 0.6408 0.7500
```

Its crystal system is monoclinic. The calculation puts the total energy at -6.899 eV/atom.